Nd2Ga12Cu (PBE-GGA, relaxed); mass density = 6.76 g cm⁻³; energy relative to the elements = -351 meV/atom; symmetry = No. 125; raw total energy = -3.68 eV/atom
1.0
-2.056 -4.484 -3.726
2.612 -4.240 3.662
-12.888 -0.881 8.171
Ga Nd Cu
24 4 2
direct
0.000 0.000 0.657 Ga
0.500 0.500 0.343 Ga
0.500 0.500 0.181 Ga
0.330 0.830 0.430 Ga
0.170 0.330 0.430 Ga
0.830 0.330 0.570 Ga
0.670 0.170 0.430 Ga
0.170 0.670 0.570 Ga
0.830 0.670 0.430 Ga
0.670 0.830 0.570 Ga
0.250 0.750 0.086 Ga
0.250 0.750 0.914 Ga
0.750 0.250 0.086 Ga
0.000 0.000 0.181 Ga
0.500 0.500 0.819 Ga
0.750 0.750 0.914 Ga
0.750 0.250 0.914 Ga
0.000 0.000 0.819 Ga
0.750 0.750 0.086 Ga
0.500 0.500 0.657 Ga
0.250 0.250 0.086 Ga
0.330 0.170 0.570 Ga
0.250 0.250 0.914 Ga
0.000 0.000 0.343 Ga
0.000 0.500 0.245 Nd
0.500 0.000 0.245 Nd
0.000 0.500 0.755 Nd
0.500 0.000 0.755 Nd
0.500 0.000 0.000 Cu
0.000 0.500 0.000 Cu

***

Pt2PbBr (PBE-GGA, relaxed); E above lowest polymorph = 0.280 eV per atom; mass density = 13.04 g cm⁻³; symmetry = No. 123; E_form (uncorrected) = 0.305 eV per atom; raw total energy = -4.06 eV/atom
1.0
3.594 0.000 0.000
0.000 3.594 0.000
0.000 0.000 6.680
Pt Pb Br
2 1 1
direct
0.000 0.000 0.545 Pt
0.000 0.000 0.955 Pt
0.500 0.500 0.750 Pb
0.500 0.500 0.250 Br

***

NdSm2Sb (PBE-GGA, relaxed); E above lowest polymorph = 0.211 eV per atom; mass density = 6.69 g cm⁻³; symmetry = No. 160; E_form (uncorrected) = -0.368 eV per atom; raw total energy = -4.95 eV/atom
1.0
-1.163 2.953 2.587
-2.861 -0.765 2.828
5.552 -2.016 8.037
Sb Nd Sm
1 1 2
direct
0.666 0.666 0.001 Sb
0.500 0.500 0.499 Nd
0.067 0.067 0.798 Sm
0.266 0.266 0.202 Sm

***

Rb3LiZn2F9 (PBE-GGA, relaxed); mass density = 4.32 g cm⁻³; symmetry = No. 164; E_form (uncorrected) = -2.472 eV per atom; raw total energy = -4.09 eV/atom
1.0
5.884 0.000 0.000
-2.942 5.095 0.000
0.000 0.000 7.246
Rb F Zn Li
3 9 2 1
direct
0.000 0.000 0.000 Rb
0.667 0.333 0.343 Rb
0.333 0.667 0.657 Rb
0.500 0.000 0.000 F
0.171 0.829 0.322 F
0.658 0.829 0.322 F
0.500 0.500 0.000 F
0.829 0.171 0.678 F
0.342 0.171 0.678 F
0.829 0.658 0.678 F
0.000 0.500 0.000 F
0.171 0.342 0.322 F
0.667 0.333 0.831 Zn
0.333 0.667 0.169 Zn
0.000 0.000 0.500 Li

***

SrTaAg (PBE-GGA, relaxed); E above lowest polymorph = 0.038 eV per atom; mass density = 7.98 g cm⁻³; energy relative to the elements = 268 meV/atom; symmetry = No. 12; raw total energy = -5.19 eV/atom
1.0
-3.495 0.196 0.026
-0.198 -3.474 -0.378
0.004 -1.377 12.716
Ag Ta Sr
2 2 2
direct
0.423 0.171 0.368 Ag
0.925 0.670 0.999 Ag
0.424 0.170 0.133 Ta
0.924 0.671 0.235 Ta
0.426 0.169 0.824 Sr
0.923 0.671 0.543 Sr

***

Li6Hg (PBE-GGA, relaxed); E above lowest polymorph = 0.071 eV per atom; mass density = 2.94 g cm⁻³; energy relative to the elements = -83 meV/atom; symmetry = No. 123; raw total energy = -1.77 eV/atom
1.0
-0.701 0.061 4.595
-1.977 -4.200 -0.246
5.649 -2.712 0.898
Li Hg
6 1
direct
0.500 0.000 0.749 Li
0.000 0.500 0.749 Li
0.000 0.500 0.251 Li
0.000 0.000 0.500 Li
0.500 0.000 0.251 Li
0.500 0.500 0.000 Li
0.000 0.000 0.000 Hg

***

Zn2TcNi (PBE-GGA, relaxed); E above lowest polymorph = 0.051 eV per atom; mass density = 9.05 g cm⁻³; energy relative to the elements = 16 meV/atom; symmetry = No. 47; raw total energy = -4.66 eV/atom
1.0
-0.962 -1.846 -1.648
-1.305 -1.661 2.622
-5.005 3.086 -0.536
Zn Ni Tc
2 1 1
direct
0.000 0.000 0.477 Zn
0.000 0.000 0.023 Zn
0.500 0.500 0.250 Ni
0.500 0.500 0.750 Tc